Model w:
A plane-wave DFT calculation with GGA-PBE was carried out for a geometry-optimized Si2BH structure.

Unit cell a=4.784 b=4.784 c=5.370 alpha=63.55 beta=63.55 gamma=90.00
Fractional positions:
H  0.250  0.750  0.500
B  0.750  0.250  0.500
Si  0.875  0.876  0.750
Si  0.375  0.374  0.750
Si  0.626  0.125  0.250
H  0.500  0.500  0.000
B  0.000  0.000  0.000
Si  0.124  0.625  0.250

=====

Model x:
A plane-wave DFT calculation with GGA-PBE was carried out for a geometry-optimized Si2BH structure.

Unit cell a=3.741 b=3.741 c=3.741 alpha=60.00 beta=60.00 gamma=60.00
Fractional positions:
Si  0.250  0.250  0.250
H  0.000  0.000  0.000
B  0.500  0.500  0.500
Si  0.750  0.750  0.750

=====

Relative stability in meV/atom, measured from the most stable structure: model w 0; model x 161

=====

Model w:
A plane-wave DFT calculation with GGA-PBE was carried out for a geometry-optimized SiB2H6 structure.

Unit cell a=4.257 b=4.257 c=4.257 alpha=60.00 beta=60.00 gamma=60.00
Fractional positions:
Si  0.000  0.000  0.000
B  0.750  0.750  0.750
H  0.268  0.732  0.268
H  0.732  0.732  0.268
H  0.732  0.268  0.268
B  0.250  0.250  0.250
H  0.268  0.732  0.732
H  0.268  0.268  0.732
H  0.732  0.268  0.732

=====

Model x:
A plane-wave DFT calculation with GGA-PBE was carried out for a geometry-optimized SiB2H6 structure.

Unit cell a=3.660 b=8.028 c=8.028 alpha=69.77 beta=83.80 gamma=83.80
Fractional positions:
Si  0.750  0.934  0.066
H  0.439  0.385  0.381
Si  0.250  0.066  0.934
H  0.561  0.615  0.619
H  0.741  0.843  0.674
H  0.805  0.797  0.435
H  0.759  0.326  0.157
H  0.259  0.157  0.326
B  0.717  0.405  0.259
H  0.241  0.674  0.843
B  0.217  0.259  0.405
H  0.061  0.619  0.615
H  0.305  0.435  0.797
H  0.695  0.565  0.203
B  0.783  0.741  0.595
H  0.195  0.203  0.565
B  0.283  0.595  0.741
H  0.939  0.381  0.385

=====

Relative stability in meV/atom, measured from the most stable structure: model w 1052; model x 0

=====

Model w:
A plane-wave DFT calculation with GGA-PBE was carried out for a geometry-optimized SmBH structure.

Unit cell a=3.776 b=3.276 c=7.471 alpha=64.02 beta=104.56 gamma=89.94
Fractional positions:
H  0.759  0.735  0.516
Sm  0.633  0.483  0.268
B  0.018  0.213  0.037
B  0.982  0.787  0.963
H  0.241  0.265  0.484
Sm  0.367  0.517  0.732

=====

Model x:
A plane-wave DFT calculation with GGA-PBE was carried out for a geometry-optimized SmBH structure.

Unit cell a=3.464 b=3.465 c=7.581 alpha=76.77 beta=76.79 gamma=60.01
Site moments in Bohr magnetons follow the coordinates.
Fractional positions:
B  0.168  0.167  0.498  0.01
Sm  0.588  0.589  0.235  0.10
H  0.695  0.695  0.915  0.00
B  0.832  0.833  0.502  0.01
H  0.305  0.305  0.085  0.00
Sm  0.412  0.411  0.765  0.10

=====

Relative stability in meV/atom, measured from the most stable structure: model w 0; model x 55

=====

Model w:
A plane-wave DFT calculation with GGA-PBE was carried out for a geometry-optimized SnBH structure.

Unit cell a=7.336 b=3.145 c=6.882 alpha=90.00 beta=90.00 gamma=90.00
Fractional positions:
B  0.013  0.750  0.533
B  0.513  0.750  0.967
Sn  0.301  0.250  0.328
H  0.112  0.750  0.079
H  0.888  0.250  0.921
B  0.987  0.250  0.467
H  0.388  0.250  0.579
Sn  0.199  0.750  0.828
H  0.612  0.750  0.421
B  0.487  0.250  0.033
Sn  0.801  0.250  0.172
Sn  0.699  0.750  0.672

=====

Model x:
A plane-wave DFT calculation with GGA-PBE was carried out for a geometry-optimized SnBH structure.

Unit cell a=3.755 b=3.740 c=7.677 alpha=57.45 beta=76.61 gamma=70.91
Fractional positions:
Sn  0.024  0.544  0.950
B  0.630  0.515  0.583
B  0.683  0.307  0.836
Sn  0.918  0.100  0.405
H  0.356  0.464  0.542
H  0.526  0.023  0.985

=====

Model y:
A plane-wave DFT calculation with GGA-PBE was carried out for a geometry-optimized SnBH structure.

Unit cell a=7.996 b=3.944 c=5.526 alpha=90.00 beta=90.00 gamma=90.00
Fractional positions:
Sn  0.333  0.750  0.971
Sn  0.167  0.250  0.471
H  0.481  0.250  0.622
Sn  0.833  0.750  0.529
H  0.519  0.750  0.378
B  0.132  0.750  0.269
B  0.368  0.250  0.769
H  0.981  0.250  0.878
Sn  0.667  0.250  0.029
H  0.019  0.750  0.122
B  0.868  0.250  0.731
B  0.632  0.750  0.231

=====

Relative stability in meV/atom, measured from the most stable structure: model w 162; model x 61; model y 0

=====

Model w:
A plane-wave DFT calculation with GGA-PBE was carried out for a geometry-optimized SrBH2 structure.

Unit cell a=4.073 b=4.073 c=4.073 alpha=60.00 beta=60.00 gamma=60.00
Fractional positions:
H  0.750  0.750  0.750
Sr  0.500  0.500  0.500
B  0.000  0.000  0.000
H  0.250  0.250  0.250

=====

Model x:
A plane-wave DFT calculation with GGA-PBE was carried out for a geometry-optimized SrBH2 structure.

Unit cell a=4.163 b=4.163 c=5.807 alpha=68.99 beta=68.99 gamma=90.00
Fractional positions:
H  0.375  0.125  0.250
B  0.500  0.500  0.000
Sr  0.750  0.250  0.500
Sr  0.000  0.000  0.000
B  0.250  0.750  0.500
H  0.875  0.625  0.750
H  0.375  0.625  0.250
H  0.375  0.625  0.750

=====

Relative stability in meV/atom, measured from the most stable structure: model w 276; model x 0

=====

Model w:
A plane-wave DFT calculation with GGA-PBE was carried out for a geometry-optimized Ta2B2H structure.

Unit cell a=4.200 b=4.200 c=4.554 alpha=62.54 beta=62.54 gamma=90.00
Fractional positions:
B  0.376  0.376  0.247
Ta  0.750  0.250  0.500
B  0.624  0.624  0.753
Ta  0.250  0.750  0.500
H  0.000  0.000  0.000

=====

Model x:
A plane-wave DFT calculation with GGA-PBE was carried out for a geometry-optimized Ta2B2H structure.

Unit cell a=3.100 b=3.100 c=6.021 alpha=89.80 beta=105.25 gamma=119.73
Fractional positions:
B  0.666  0.833  0.499
B  0.334  0.167  0.501
Ta  0.811  0.410  0.220
Ta  0.189  0.590  0.780
H  0.000  0.000  0.000

=====

Model y:
A plane-wave DFT calculation with GGA-PBE was carried out for a geometry-optimized Ta2B2H structure.

Unit cell a=5.804 b=5.804 c=3.174 alpha=90.00 beta=90.00 gamma=90.00
Fractional positions:
B  0.896  0.604  0.000
B  0.104  0.396  0.000
B  0.396  0.896  0.000
H  0.500  0.500  0.000
H  0.000  0.000  0.000
B  0.604  0.104  0.000
Ta  0.188  0.688  0.500
Ta  0.812  0.312  0.500
Ta  0.312  0.188  0.500
Ta  0.688  0.812  0.500

=====

Relative stability in meV/atom, measured from the most stable structure: model w 1140; model x 0; model y 565

=====

Model w:
A plane-wave DFT calculation with GGA-PBE was carried out for a geometry-optimized TaB2H structure.

Unit cell a=3.770 b=3.770 c=3.770 alpha=60.00 beta=60.00 gamma=60.00
Fractional positions:
B  0.750  0.750  0.750
Ta  0.500  0.500  0.500
B  0.250  0.250  0.250
H  0.000  0.000  0.000

=====

Model x:
A plane-wave DFT calculation with GGA-PBE was carried out for a geometry-optimized TaB2H structure.

Unit cell a=3.388 b=3.388 c=6.319 alpha=74.45 beta=74.45 gamma=90.00
Fractional positions:
B  0.375  0.625  0.250
B  0.375  0.125  0.250
H  0.500  0.500  0.000
B  0.875  0.625  0.750
Ta  0.000  0.000  0.000
Ta  0.750  0.250  0.500
B  0.375  0.625  0.750
H  0.250  0.750  0.500

=====

Relative stability in meV/atom, measured from the most stable structure: model w 856; model x 0

=====

Model w:
A plane-wave DFT calculation with GGA-PBE was carried out for a geometry-optimized TcB2H6 structure.

Unit cell a=3.665 b=7.590 c=3.656 alpha=72.65 beta=47.37 gamma=63.59
Site moments in Bohr magnetons follow the coordinates.
Fractional positions:
B  0.862  0.798  0.674  -0.01
H  0.071  0.775  0.862  0.00
Tc  0.000  0.000  0.000  0.91
H  0.660  0.215  0.863  0.00
H  0.929  0.225  0.138  0.00
H  0.340  0.785  0.137  0.00
B  0.138  0.202  0.326  -0.01
H  0.998  0.379  0.354  0.00
H  0.002  0.621  0.646  0.00

=====

Model x:
A plane-wave DFT calculation with GGA-PBE was carried out for a geometry-optimized TcB2H6 structure.

Unit cell a=5.087 b=4.899 c=6.470 alpha=38.83 beta=37.73 gamma=39.69
Site moments in Bohr magnetons follow the coordinates.
Fractional positions:
B  0.849  0.904  0.558  0.00
H  0.491  0.987  0.847  0.00
B  0.151  0.096  0.442  0.00
H  0.198  0.802  0.735  0.00
H  0.509  0.013  0.153  0.00
H  0.876  0.502  0.430  0.00
H  0.124  0.498  0.570  0.00
H  0.802  0.198  0.265  0.00
Tc  0.000  0.000  0.000  0.12

=====

Relative stability in meV/atom, measured from the most stable structure: model w 0; model x 62